Entry 1:
Computed, not measured: a geometry-optimized LaPrTh structure at the PBE level of DFT.

symmetry	No. 129
calculated volume	209	Å³/cell
N(E_F)	1.45	states/eV per atom
excess energy over the best structure of this formula in the dataset	0	meV per atom
calculated total energy	-5.692	eV per atom
formation enthalpy at 0 K	0.017	eV/atom
crystal system	tetragonal
magnetic moment	0.000	μB per atom

POSCAR file:
```
LaPrTh
1.0
-1.054 2.364 2.557
0.058 -2.660 2.482
15.119 3.299 3.181
La Pr Th
2 2 2
direct
0.318 0.318 0.515
0.818 0.818 0.988
0.317 0.317 0.168
0.817 0.817 0.335
0.818 0.818 0.676
0.318 0.318 0.827
```

***

Entry 2:
Computed, not measured: a geometry-optimized La2Pr5Th4 structure at the PBE level of DFT.

symmetry	No. 12
calculated volume	405	Å³/cell
N(E_F)	1.55	states/eV per atom
calculated total energy	-5.476	eV per atom
formation enthalpy at 0 K	0.290	eV/atom
crystal system	monoclinic
magnetic moment	0.000	μB per atom

POSCAR file:
```
La2Pr5Th4
1.0
0.121 3.267 -1.228
0.356 -3.381 -8.961
-12.086 -1.913 -1.315
La Pr Th
2 5 4
direct
0.262 0.292 0.525
0.738 0.708 0.475
0.855 0.926 0.710
0.145 0.074 0.290
0.874 0.538 0.748
0.500 0.000 0.000
0.126 0.462 0.252
0.389 0.225 0.778
0.003 0.325 0.005
0.611 0.775 0.222
0.997 0.675 0.995
```

***

Entry 3:
Computed, not measured: a geometry-optimized La3Pr2Th2 structure at the PBE level of DFT.

symmetry	No. 12
calculated volume	244	Å³/cell
N(E_F)	2.02	states/eV per atom
calculated total energy	-5.463	eV per atom
formation enthalpy at 0 K	0.134	eV/atom
crystal system	monoclinic
magnetic moment	0.000	μB per atom

POSCAR file:
```
La3Pr2Th2
1.0
-3.863 -2.817 3.897
-2.845 -4.731 -1.359
4.279 -6.205 4.638
La Pr Th
3 2 2
direct
0.500 0.000 0.000
0.362 0.847 0.429
0.638 0.153 0.571
0.075 0.576 0.275
0.925 0.424 0.725
0.204 0.729 0.863
0.796 0.271 0.137
```

***

Entry 4:
Computed, not measured: a geometry-optimized La7Pr12Th structure at the PBE level of DFT.

symmetry	No. 148
calculated volume	731	Å³/cell
N(E_F)	1.68	states/eV per atom
excess energy over the best structure of this formula in the dataset	0	meV per atom
calculated total energy	-4.772	eV per atom
formation enthalpy at 0 K	0.192	eV/atom
crystal system	trigonal
magnetic moment	0.000	μB per atom

POSCAR file:
```
La7Pr12Th
1.0
-3.987 -3.488 -7.288
3.481 -8.037 2.114
-7.311 -1.699 4.985
La Pr Th
7 12 1
direct
0.876 0.624 0.945
0.376 0.055 0.124
0.055 0.124 0.376
0.500 0.500 0.500
0.945 0.876 0.624
0.624 0.945 0.876
0.124 0.376 0.055
0.861 0.251 0.720
0.749 0.280 0.139
0.564 0.161 0.460
0.839 0.540 0.436
0.280 0.139 0.749
0.540 0.436 0.839
0.460 0.564 0.161
0.720 0.861 0.251
0.161 0.460 0.564
0.436 0.839 0.540
0.251 0.720 0.861
0.139 0.749 0.280
0.000 0.000 0.000
```

***

Entry 5:
Computed, not measured: a geometry-optimized La6Pr3Th structure at the PBE level of DFT.

symmetry	No. 14
calculated volume	718	Å³/cell
N(E_F)	1.83	states/eV per atom
calculated total energy	-5.097	eV per atom
formation enthalpy at 0 K	0.035	eV/atom
crystal system	monoclinic
magnetic moment	0.000	μB per atom

POSCAR file:
```
La6Pr3Th
1.0
-1.785 2.229 -2.386
2.898 -2.924 -4.899
-20.845 -22.102 0.861
La Pr Th
12 6 2
direct
0.406 0.845 0.903
0.598 0.833 0.600
0.197 0.339 0.198
0.803 0.661 0.802
0.402 0.167 0.400
0.594 0.155 0.097
0.906 0.655 0.403
0.098 0.667 0.100
0.697 0.161 0.698
0.303 0.839 0.302
0.902 0.333 0.900
0.094 0.345 0.597
0.297 0.158 0.800
0.500 0.500 0.000
0.703 0.842 0.200
0.797 0.342 0.300
0.000 0.000 0.500
0.203 0.658 0.700
0.500 0.500 0.500
0.000 0.000 0.000
```

***

Entry 6:
Computed, not measured: a geometry-optimized La4Pr5Th2 structure at the PBE level of DFT.

symmetry	No. 10
calculated volume	397	Å³/cell
N(E_F)	1.73	states/eV per atom
calculated total energy	-5.195	eV per atom
formation enthalpy at 0 K	0.118	eV/atom
crystal system	monoclinic
magnetic moment	0.000	μB per atom

POSCAR file:
```
La4Pr5Th2
1.0
3.575 0.000 0.000
0.000 9.168 0.202
0.000 0.607 12.127
La Pr Th
4 5 2
direct
0.500 0.301 0.548
0.500 0.848 0.895
0.500 0.699 0.452
0.500 0.152 0.105
0.000 0.419 0.287
0.000 0.802 0.173
0.000 0.500 0.000
0.000 0.198 0.827
0.000 0.581 0.713
0.000 0.948 0.629
0.000 0.052 0.371
```